# 1
A geometry-optimized NaCoN structure, computed with PBE.

Cell: 10.296 10.296 6.394 Å, 72.21 72.21 19.35°
Last column: magnetic moment on the atom in μB.
Atoms (fractional coordinates):
Na: 0.305 0.305 0.161  0.00
Na: 0.695 0.695 0.839  0.00
Na: 0.539 0.539 0.194  0.00
Na: 0.461 0.461 0.806  0.00
Co: 0.391 0.391 0.464  0.95
Co: 0.609 0.609 0.536  0.95
Co: 0.159 0.159 0.297  0.54
Co: 0.841 0.841 0.703  0.54
N: 0.418 0.418 0.196  0.15
N: 0.582 0.582 0.804  0.15
N: 0.670 0.670 0.247  -0.04
N: 0.330 0.330 0.753  -0.04

Results
Raw total energy = -5.2607 eV/atom
Polymorph energy (0 for the lowest one) = 443.0 meV/atom
Formation energy from raw total energies = 7.4 kcal/mol of atoms

# 2
A geometry-optimized As2IrBrF structure, computed with PBE.

Cell: 4.260 4.260 5.093 Å, 90.00 90.00 90.00°
Atoms (fractional coordinates):
As: 0.000 0.500 0.000
As: 0.500 0.000 0.000
Ir: 0.500 0.500 0.500
Br: 0.000 0.000 0.500
F: 0.000 0.000 0.000

Results
Raw total energy = -3.5689 eV/atom
Polymorph energy (0 for the lowest one) = 516.9 meV/atom
Formation energy from raw total energies = 17.8 kcal/mol of atoms

# 3
A geometry-optimized LaPm6Nd2Sm structure, computed with PBE.

Cell: 9.996 9.002 9.002 Å, 118.32 94.65 94.65°
Atoms (fractional coordinates):
La: 0.250 0.404 0.596
La: 0.750 0.596 0.404
Pm: 0.056 0.118 0.748
Pm: 0.444 0.252 0.882
Pm: 0.944 0.882 0.252
Pm: 0.556 0.748 0.118
Pm: 0.317 0.974 0.425
Pm: 0.183 0.575 0.026
Pm: 0.683 0.026 0.575
Pm: 0.817 0.425 0.974
Pm: 0.122 0.705 0.497
Pm: 0.378 0.503 0.295
Pm: 0.878 0.295 0.503
Pm: 0.622 0.497 0.705
Nd: 0.458 0.811 0.710
Nd: 0.042 0.290 0.189
Nd: 0.542 0.189 0.290
Nd: 0.958 0.710 0.811
Sm: 0.250 0.979 0.021
Sm: 0.750 0.021 0.979

Results
Raw total energy = -4.6531 eV/atom
Formation enthalpy at 0 K = 2.66 kcal/mol of atoms

Which of these has the highest raw total energy?
As2IrBrF

What did the first record say?
A geometry-optimized NaCoN structure, computed with PBE.

Cell: 10.296 10.296 6.394 Å, 72.21 72.21 19.35°
Last column: magnetic moment on the atom in μB.
Atoms (fractional coordinates):
Na: 0.305 0.305 0.161  0.00
Na: 0.695 0.695 0.839  0.00
Na: 0.539 0.539 0.194  0.00
Na: 0.461 0.461 0.806  0.00
Co: 0.391 0.391 0.464  0.95
Co: 0.609 0.609 0.536  0.95
Co: 0.159 0.159 0.297  0.54
Co: 0.841 0.841 0.703  0.54
N: 0.418 0.418 0.196  0.15
N: 0.582 0.582 0.804  0.15
N: 0.670 0.670 0.247  -0.04
N: 0.330 0.330 0.753  -0.04

Results
Raw total energy = -5.2607 eV/atom
Polymorph energy (0 for the lowest one) = 443.0 meV/atom
Formation energy from raw total energies = 7.4 kcal/mol of atoms